# 1
{"formula": "KGaBrCl2", "functional": "GGA-PBE", "state": "relaxed", "lattice": [[-1.521, -4.785, -1.156], [3.274, -0.080, -3.978], [3.846, -1.996, 3.206]], "species": ["K", "Cl", "Cl", "Br", "Ga"], "frac_coords": [[0.500, 0.500, 0.500], [0.000, 0.500, 0.000], [0.500, 0.000, 0.000], [0.000, 0.000, 0.500], [0.000, 0.000, 0.000]], "raw_formation_energy_ev_per_atom": -1.22, "magnetic_moment_mub_per_fu": 0.00}



# 2
{"formula": "RePb2Br", "functional": "GGA-PBE", "state": "relaxed", "lattice": [[10.351, 0.031, 0.018], [9.799, 3.335, 0.018], [9.799, 1.637, 2.906]], "species": ["Pb", "Pb", "Br", "Re"], "frac_coords": [[0.000, 0.000, 0.000], [0.233, 0.233, 0.233], [0.771, 0.771, 0.771], [0.496, 0.496, 0.496]], "raw_formation_energy_ev_per_atom": 0.62, "magnetic_moment_mub_per_fu": 0.00}



What did the first record say?
{"formula": "KGaBrCl2", "functional": "GGA-PBE", "state": "relaxed", "lattice": [[-1.521, -4.785, -1.156], [3.274, -0.080, -3.978], [3.846, -1.996, 3.206]], "species": ["K", "Cl", "Cl", "Br", "Ga"], "frac_coords": [[0.500, 0.500, 0.500], [0.000, 0.500, 0.000], [0.500, 0.000, 0.000], [0.000, 0.000, 0.500], [0.000, 0.000, 0.000]], "raw_formation_energy_ev_per_atom": -1.22, "magnetic_moment_mub_per_fu": 0.00}



Copy entry 2 word for word.
{"formula": "RePb2Br", "functional": "GGA-PBE", "state": "relaxed", "lattice": [[10.351, 0.031, 0.018], [9.799, 3.335, 0.018], [9.799, 1.637, 2.906]], "species": ["Pb", "Pb", "Br", "Re"], "frac_coords": [[0.000, 0.000, 0.000], [0.233, 0.233, 0.233], [0.771, 0.771, 0.771], [0.496, 0.496, 0.496]], "raw_formation_energy_ev_per_atom": 0.62, "magnetic_moment_mub_per_fu": 0.00}